Entry 1:
DFT (PBE) results for a relaxed RePtBrF2 crystal.

```
data_RePtBrF2
_cell_length_a 4.242
_cell_length_b 4.242
_cell_length_c 5.433
_cell_angle_alpha 90.00
_cell_angle_beta 90.00
_cell_angle_gamma 90.00
_symmetry_space_group_name_H-M 'P 4/m m m'
_symmetry_Int_Tables_number 123
_symmetry_space_group_name_Hall '-P 4 2'
loop_
_atom_site_label
_atom_site_type_symbol
_atom_site_fract_x
_atom_site_fract_y
_atom_site_fract_z
Re1 Re 0.000 0.000 0.000
Pt1 Pt 0.500 0.500 0.500
Br1 Br 0.500 0.500 0.000
F1 F 0.000 0.500 0.500
```

**Electronic total energy**: -4.23 eV per atom
**Total magnetic moment**: 4.867 μB/f.u.
**N(E_F)**: 3.10 states/eV per cell
**V**: 19.549 A^3/atom
**Energy relative to the elements, uncorrected**: 554.8 meV per atom
**ρ**: 8.480 g cm⁻³

=====

Entry 2:
DFT (PBE) results for a relaxed Dy2YSc crystal.

```
data_Dy2YSc
_cell_length_a 6.013
_cell_length_b 6.953
_cell_length_c 6.957
_cell_angle_alpha 60.19
_cell_angle_beta 73.55
_cell_angle_gamma 73.40
_symmetry_space_group_name_H-M 'P -1'
_symmetry_Int_Tables_number 2
_symmetry_space_group_name_Hall '-P 1'
loop_
_atom_site_label
_atom_site_type_symbol
_atom_site_fract_x
_atom_site_fract_y
_atom_site_fract_z
Dy1 Dy 0.249 0.372 0.377
Dy2 Dy 0.249 0.877 0.872
Y1 Y 0.257 0.373 0.873
Sc1 Sc 0.244 0.877 0.377
```

**ΔE to the lowest computed polymorph**: 13 meV per atom
**Calculated formation energy**: 0.046 eV per atom
**Electronic total energy**: -5.45 eV per atom
**Total magnetic moment**: 0.000 μB/f.u.
**N(E_F)**: 13.10 states/eV per cell
**V**: 29.792 A^3/atom
**ρ**: 6.394 g cm⁻³

=====

Entry 3:
DFT (PBE) results for a relaxed RhBrN2F crystal.

```
data_RhBrN2F
_cell_length_a 3.947
_cell_length_b 3.947
_cell_length_c 4.161
_cell_angle_alpha 90.00
_cell_angle_beta 90.00
_cell_angle_gamma 90.00
_symmetry_space_group_name_H-M 'P 4/m m m'
_symmetry_Int_Tables_number 123
_symmetry_space_group_name_Hall '-P 4 2'
loop_
_atom_site_label
_atom_site_type_symbol
_atom_site_fract_x
_atom_site_fract_y
_atom_site_fract_z
Rh1 Rh 0.000 0.000 0.000
Br1 Br 0.500 0.500 0.500
N1 N 0.000 0.500 0.000
F1 F 0.000 0.000 0.500
```

**ΔE to the lowest computed polymorph**: 0 meV per atom
**Electronic total energy**: -4.61 eV per atom
**Total magnetic moment**: 0.673 μB/f.u.
**N(E_F)**: 2.70 states/eV per cell
**V**: 12.968 A^3/atom
**Energy relative to the elements, uncorrected**: 902.2 meV per atom
**ρ**: 5.886 g cm⁻³

=====

Entry 4:
DFT (PBE) results for a relaxed NaLiN crystal.

```
data_NaLiN
_cell_length_a 3.891
_cell_length_b 3.903
_cell_length_c 7.887
_cell_angle_alpha 100.62
_cell_angle_beta 98.62
_cell_angle_gamma 108.54
_symmetry_space_group_name_H-M 'P -1'
_symmetry_Int_Tables_number 2
_symmetry_space_group_name_Hall '-P 1'
loop_
_atom_site_label
_atom_site_type_symbol
_atom_site_fract_x
_atom_site_fract_y
_atom_site_fract_z
Na1 Na 0.172 0.153 0.327
Li1 Li 0.304 0.684 0.988
N1 N 0.146 0.145 0.000
```

**ΔE to the lowest computed polymorph**: 0 meV per atom
**Electronic total energy**: -3.95 eV per atom
**Total magnetic moment**: 0.002 μB/f.u.
**N(E_F)**: 2.87 states/eV per cell
**V**: 18.129 A^3/atom
**Energy relative to the elements, uncorrected**: -94.7 meV per atom
**ρ**: 1.341 g cm⁻³

=====

Entry 5:
DFT (PBE) results for a relaxed Ti2AgSN crystal.

```
data_Ti2AgSN
_cell_length_a 4.687
_cell_length_b 4.687
_cell_length_c 3.557
_cell_angle_alpha 90.00
_cell_angle_beta 90.00
_cell_angle_gamma 90.00
_symmetry_space_group_name_H-M 'P 4/m m m'
_symmetry_Int_Tables_number 123
_symmetry_space_group_name_Hall '-P 4 2'
loop_
_atom_site_label
_atom_site_type_symbol
_atom_site_fract_x
_atom_site_fract_y
_atom_site_fract_z
Ti1 Ti 0.000 0.500 0.000
Ag1 Ag 0.000 0.000 0.500
S1 S 0.500 0.500 0.000
N1 N 0.500 0.500 0.500
```

**Electronic total energy**: -5.74 eV per atom
**Total magnetic moment**: 0.000 μB/f.u.
**N(E_F)**: 5.68 states/eV per cell
**V**: 15.626 A^3/atom
**Energy relative to the elements, uncorrected**: 479.0 meV per atom
**ρ**: 5.306 g cm⁻³

=====

Entry 6:
DFT (PBE) results for a relaxed ScCo2Mo crystal.

```
data_ScCo2Mo
_cell_length_a 6.038
_cell_length_b 6.038
_cell_length_c 6.038
_cell_angle_alpha 90.00
_cell_angle_beta 90.00
_cell_angle_gamma 90.00
_symmetry_space_group_name_H-M 'F -4 3 m'
_symmetry_Int_Tables_number 216
_symmetry_space_group_name_Hall 'F -4 2 3'
loop_
_atom_site_label
_atom_site_type_symbol
_atom_site_fract_x
_atom_site_fract_y
_atom_site_fract_z
Sc1 Sc 0.000 0.000 0.000
Co1 Co 0.000 0.000 0.500
Co2 Co 0.250 0.250 0.250
Mo1 Mo 0.250 0.250 0.750
```

**Calculated formation energy**: 0.179 eV per atom
**Electronic total energy**: -7.66 eV per atom
**Total magnetic moment**: 0.963 μB/f.u.
**N(E_F)**: 28.70 states/eV per cell
**V**: 13.760 A^3/atom
**ρ**: 7.807 g cm⁻³

=====

Entry 7:
DFT (PBE) results for a relaxed LiDyY crystal.

```
data_LiDyY
_cell_length_a 3.4802
_cell_length_b 3.4802
_cell_length_c 8.3287
_cell_angle_alpha 90.00
_cell_angle_beta 90.00
_cell_angle_gamma 120.00
_symmetry_space_group_name_H-M 'P 3 m 1'
_symmetry_Int_Tables_number 156
_symmetry_space_group_name_Hall 'P 3 -2"'
loop_
_atom_site_label
_atom_site_type_symbol
_atom_site_fract_x
_atom_site_fract_y
_atom_site_fract_z
Li1 Li 0.0000 0.0000 0.0000
Dy1 Dy 0.6667 0.3333 0.3295
Y1 Y 0.3333 0.6667 0.6696
```

**ΔE to the lowest computed polymorph**: 32 meV per atom
**Calculated formation energy**: 0.116 eV per atom
**Electronic total energy**: -4.21 eV per atom
**Total magnetic moment**: 0.000 μB/f.u.
**N(E_F)**: 3.41 states/eV per cell
**V**: 29.121 A^3/atom
**ρ**: 4.911 g cm⁻³

=====

Entry 8:
DFT (PBE) results for a relaxed Te3WCl crystal.

```
data_Te3WCl
_cell_length_a 16.776
_cell_length_b 5.184
_cell_length_c 9.572
_cell_angle_alpha 90.00
_cell_angle_beta 116.39
_cell_angle_gamma 90.00
_symmetry_space_group_name_H-M 'C 1 2/m 1'
_symmetry_Int_Tables_number 12
_symmetry_space_group_name_Hall '-C 2y'
loop_
_atom_site_label
_atom_site_type_symbol
_atom_site_fract_x
_atom_site_fract_y
_atom_site_fract_z
Te1 Te 0.009 0.000 0.245
Te2 Te 0.168 0.000 0.567
Te3 Te 0.179 0.500 0.929
W1 W 0.153 0.000 0.815
Cl1 Cl 0.078 0.500 0.265
```

**ΔE to the lowest computed polymorph**: 0 meV per atom
**Electronic total energy**: -4.71 eV per atom
**Total magnetic moment**: 0.000 μB/f.u.
**N(E_F)**: 1.95 states/eV per cell
**V**: 37.286 A^3/atom
**Energy relative to the elements, uncorrected**: 137.7 meV per atom
**ρ**: 5.363 g cm⁻³

=====

Entry 9:
DFT (PBE) results for a relaxed TcHg2As crystal.

```
data_TcHg2As
_cell_length_a 3.087
_cell_length_b 4.705
_cell_length_c 13.017
_cell_angle_alpha 90.00
_cell_angle_beta 90.00
_cell_angle_gamma 90.00
_symmetry_space_group_name_H-M 'A m m 2'
_symmetry_Int_Tables_number 38
_symmetry_space_group_name_Hall 'A 2 -2'
loop_
_atom_site_label
_atom_site_type_symbol
_atom_site_fract_x
_atom_site_fract_y
_atom_site_fract_z
Tc1 Tc 0.000 0.000 0.000
Hg1 Hg 0.000 0.000 0.215
Hg2 Hg 0.500 0.000 0.530
As1 As 0.500 0.000 0.860
```

**Calculated formation energy**: 0.301 eV per atom
**Electronic total energy**: -3.60 eV per atom
**Total magnetic moment**: 0.000 μB/f.u.
**N(E_F)**: 2.72 states/eV per cell
**V**: 23.633 A^3/atom
**ρ**: 10.085 g cm⁻³

=====

Entry 10:
DFT (PBE) results for a relaxed CeDy2ErSe4 crystal.

```
data_CeDy2ErSe4
_cell_length_a 7.095
_cell_length_b 4.065
_cell_length_c 7.135
_cell_angle_alpha 90.00
_cell_angle_beta 109.05
_cell_angle_gamma 90.00
_symmetry_space_group_name_H-M 'P 1 2/m 1'
_symmetry_Int_Tables_number 10
_symmetry_space_group_name_Hall '-P 2y'
loop_
_atom_site_label
_atom_site_type_symbol
_atom_site_fract_x
_atom_site_fract_y
_atom_site_fract_z
Ce1 Ce 0.000 0.000 0.000
Dy1 Dy 0.500 0.000 0.500
Dy2 Dy 0.500 0.500 0.000
Er1 Er 0.000 0.500 0.500
Se1 Se 0.251 0.000 0.744
Se2 Se 0.256 0.500 0.259
```

**Electronic total energy**: -5.96 eV per atom
**Total magnetic moment**: 0.963 μB/f.u.
**N(E_F)**: 8.40 states/eV per cell
**V**: 24.313 A^3/atom
**Energy relative to the elements, uncorrected**: -1755.2 meV per atom
**ρ**: 8.095 g cm⁻³

=====

Entry 11:
DFT (PBE) results for a relaxed Pm2Pr7Y2 crystal.

```
data_Pm2Pr7Y2
_cell_length_a 11.731
_cell_length_b 11.632
_cell_length_c 6.199
_cell_angle_alpha 90.00
_cell_angle_beta 112.08
_cell_angle_gamma 90.00
_symmetry_space_group_name_H-M 'C 1 2/m 1'
_symmetry_Int_Tables_number 12
_symmetry_space_group_name_Hall '-C 2y'
loop_
_atom_site_label
_atom_site_type_symbol
_atom_site_fract_x
_atom_site_fract_y
_atom_site_fract_z
Pm1 Pm 0.229 0.000 0.095
Pr1 Pr 0.000 0.000 0.500
Pr2 Pr 0.075 0.500 0.301
Pr3 Pr 0.182 0.230 0.679
Y1 Y 0.000 0.215 0.000
```

**Calculated formation energy**: 0.127 eV per atom
**Electronic total energy**: -4.95 eV per atom
**Total magnetic moment**: 0.000 μB/f.u.
**N(E_F)**: 32.86 states/eV per cell
**V**: 35.629 A^3/atom
**ρ**: 6.161 g cm⁻³

=====

Entry 12:
DFT (PBE) results for a relaxed NbHgS3 crystal.

```
data_NbHgS3
_cell_length_a 4.891
_cell_length_b 4.891
_cell_length_c 4.891
_cell_angle_alpha 90.00
_cell_angle_beta 90.00
_cell_angle_gamma 90.00
_symmetry_space_group_name_H-M 'P m -3 m'
_symmetry_Int_Tables_number 221
_symmetry_space_group_name_Hall '-P 4 2 3'
loop_
_atom_site_label
_atom_site_type_symbol
_atom_site_fract_x
_atom_site_fract_y
_atom_site_fract_z
Nb1 Nb 0.000 0.000 0.000
Hg1 Hg 0.500 0.500 0.500
S1 S 0.000 0.500 0.500
```

**ΔE to the lowest computed polymorph**: 1620 meV per atom
**Electronic total energy**: -3.49 eV per atom
**Total magnetic moment**: 2.036 μB/f.u.
**N(E_F)**: 3.85 states/eV per cell
**V**: 23.407 A^3/atom
**Energy relative to the elements, uncorrected**: 1057.0 meV per atom
**ρ**: 5.529 g cm⁻³